Record 1
LiAc2GaN | PBE | optimized geometry

## Properties
Magnetic moment, Bohr magnetons per cell: 0.002
Uncorrected formation energy, eV/atom: -0.59
DOS(E_F), states/eV/cell: 7.61
DFT total energy, eV/cell: -48.87

Cell lengths 7.4563, 4.0117, 8.7605 Å; angles 90.00, 107.77, 90.00 degrees
Last column: nearest neighbours and their distance in Å.
Space group P2_1/m (No. 11)
One atom of each set of equivalent atoms:
Li: 0.0649 0.2500 0.2380 (multiplicity 2)  1 N 2.04
Ac: 0.2930 0.7500 0.5350 (multiplicity 2)  3 N 2.56-2.83
Ac: 0.3296 0.7500 0.1193 (multiplicity 2)  2 N 2.68
Ga: 0.1731 0.2500 0.7968 (multiplicity 2)  2 Li 2.63
N: 0.3511 0.2500 0.3267 (multiplicity 2)  1 Li 2.04

***

Record 2
NaLiAcGa | PBE | optimized geometry

## Properties
Magnetic moment, Bohr magnetons per cell: 0.000
DOS(E_F), states/eV/cell: 10.01
DFT total energy, eV/cell: -42.99
Energy of formation from the pure elements, eV per atom: -0.095

Cell lengths 7.6129, 7.6129, 7.6129 Å; angles 90.00, 90.00, 90.00 degrees
Last column: nearest neighbours and their distance in Å.
Space group F-43m (No. 216)
One atom of each set of equivalent atoms:
Na: 0.0000 0.0000 0.0000 (multiplicity 4)  4 Li 3.30, 4 Ga 3.30
Li: 0.2500 0.2500 0.7500 (multiplicity 4)  4 Ac 3.30, 4 Na 3.30
Ac: 0.0000 0.0000 0.5000 (multiplicity 4)  4 Li 3.30, 4 Ga 3.30
Ga: 0.2500 0.2500 0.2500 (multiplicity 4)  4 Ac 3.30, 4 Na 3.30

***

Record 3
LiAc2Ga4Ni3 | PBE | optimized geometry

## Properties
Magnetic moment, Bohr magnetons per cell: 0.000
DOS(E_F), states/eV/cell: 8.19
DFT total energy, eV/cell: -44.14
Energy of formation from the pure elements, eV per atom: -0.456

Cell lengths 4.4082, 4.4082, 9.8337 Å; angles 90.00, 90.00, 90.00 degrees
Last column: nearest neighbours and their distance in Å.
Space group P-4m2 (No. 115)
One atom of each set of equivalent atoms:
Li: 0.0000 0.0000 0.0000 (multiplicity 1)  4 Ga 2.51
Ac: 0.0000 0.5000 0.7508 (multiplicity 2)  2 Li 3.30, 6 Ni 3.30-3.35, 9 Ga 3.31-3.64
Ga: 0.0000 0.0000 0.5000 (multiplicity 1)  4 Ni 2.53
Ga: 0.0000 0.5000 0.1214 (multiplicity 2)  3 Ni 2.48-2.51, 2 Li 2.51
Ga: 0.5000 0.5000 0.5000 (multiplicity 1)  4 Ni 2.53
Ni: 0.0000 0.5000 0.3734 (multiplicity 2)  5 Ga 2.48-2.53
Ni: 0.5000 0.5000 0.0000 (multiplicity 1)  4 Ga 2.51

***

Record 4
LiAcGa2Ni | PBE | optimized geometry

## Properties
Magnetic moment, Bohr magnetons per cell: 0.000
DOS(E_F), states/eV/cell: 5.43
DFT total energy, eV/cell: -39.83
Energy of formation from the pure elements, eV per atom: -0.411

Cell lengths 4.3737, 4.3755, 10.4899 Å; angles 90.00, 90.00, 90.00 degrees
Last column: nearest neighbours and their distance in Å.
Space group Imm2 (No. 44)
One atom of each set of equivalent atoms:
Li: 0.0000 0.0000 0.0000 (multiplicity 2)  2 Ni 2.58, 2 Ga 2.63
Ac: 0.0000 0.5000 0.2424 (multiplicity 2)  4 Ni 3.31, 8 Ga 3.31-3.52, 4 Li 3.35-3.48
Ga: 0.0000 0.0000 0.5051 (multiplicity 2)  2 Ni 2.55, 2 Ga 2.66
Ga: 0.0000 0.5000 0.8604 (multiplicity 2)  1 Ni 2.41, 2 Li 2.63, 2 Ga 2.66
Ni: 0.0000 0.5000 0.6303 (multiplicity 2)  3 Ga 2.41-2.55, 2 Li 2.58

***

Record 5
LiAc2Ga3Ni4 | PBE | optimized geometry

## Properties
Magnetic moment, Bohr magnetons per cell: 0.000
DOS(E_F), states/eV/cell: 6.78
DFT total energy, eV/cell: -46.54
Energy of formation from the pure elements, eV per atom: -0.421

Cell lengths 4.2682, 4.2682, 10.1998 Å; angles 90.00, 90.00, 90.00 degrees
Last column: nearest neighbours and their distance in Å.
Space group P-4m2 (No. 115)
One atom of each set of equivalent atoms:
Li: 0.0000 0.0000 0.0000 (multiplicity 1)  4 Ni 2.56
Ac: 0.0000 0.5000 0.7442 (multiplicity 2)  8 Ni 3.25-3.28, 6 Ga 3.30-3.37, 2 Li 3.37
Ga: 0.0000 0.5000 0.3867 (multiplicity 2)  5 Ni 2.43-2.54
Ga: 0.5000 0.5000 0.0000 (multiplicity 1)  4 Ni 2.56
Ni: 0.0000 0.0000 0.5000 (multiplicity 1)  4 Ga 2.43
Ni: 0.0000 0.5000 0.1380 (multiplicity 2)  3 Ga 2.54-2.56, 2 Li 2.56
Ni: 0.5000 0.5000 0.5000 (multiplicity 1)  4 Ga 2.43

***

Record 6
Li2Ac3GaO8 | PBE | optimized geometry

## Properties
Magnetic moment, Bohr magnetons per cell: 2.072
Uncorrected formation energy, eV/atom: -2.36
DOS(E_F), states/eV/cell: 9.04
DFT total energy, eV/cell: -91.85

Cell lengths 5.5366, 5.5366, 7.1830 Å; angles 90.00, 90.00, 120.00 degrees
Last column: nearest neighbours and their distance in Å.
Space group P-3m1 (No. 164)
One atom of each set of equivalent atoms:
Li: 0.3333 0.6667 0.1996 (multiplicity 2)  4 O 1.80-1.89
Ac: 0.0000 0.0000 0.0000 (multiplicity 1)  6 O 2.82
Ac: 0.3333 0.6667 0.6383 (multiplicity 2)  1 O 2.23
Ga: 0.0000 0.0000 0.5000 (multiplicity 1)  6 O 1.98
O: 0.1614 0.3228 0.3282 (multiplicity 6)  1 Li 1.89, 1 Ga 1.98
O: 0.3333 0.6667 0.9490 (multiplicity 2)  1 Li 1.80